# Rb2Tl5Pb3 (PBE, relaxed)
data_Rb2Tl5Pb3
_symmetry_space_group_name_H-M 'P 1'
_symmetry_Int_Tables_number 1
_cell_length_a 10.770
_cell_length_b 10.770
_cell_length_c 10.770
_cell_angle_alpha 97.92
_cell_angle_beta 95.30
_cell_angle_gamma 140.34
loop_
_symmetry_equiv_pos_as_xyz
'x,y,z'
loop_
_atom_site_label
_atom_site_type_symbol
_atom_site_fract_x
_atom_site_fract_y
_atom_site_fract_z
Rb1 Rb 0.123 0.245 0.368
Rb2 Rb 0.377 0.745 0.121
Rb3 Rb 0.623 0.255 0.879
Rb4 Rb 0.877 0.755 0.632
Tl1 Tl 0.006 0.750 0.256
Tl2 Tl 0.122 0.643 0.765
Tl3 Tl 0.250 0.250 0.000
Tl4 Tl 0.378 0.143 0.521
Tl5 Tl 0.494 0.750 0.744
Tl6 Tl 0.506 0.250 0.256
Tl7 Tl 0.622 0.857 0.479
Tl8 Tl 0.750 0.750 0.000
Tl9 Tl 0.878 0.357 0.235
Tl10 Tl 0.994 0.250 0.744
Pb1 Pb 0.131 0.867 0.998
Pb2 Pb 0.250 0.750 0.500
Pb3 Pb 0.369 0.367 0.735
Pb4 Pb 0.631 0.633 0.265
Pb5 Pb 0.750 0.250 0.500
Pb6 Pb 0.869 0.133 0.002
# Magnetic moment (Bohr magnetons per cell): 0.0
# Crystal system: orthorhombic
# Uncorrected energy (eV per formula unit): -25.46
# E_form (eV per formula unit): -0.6
# ΔE to the lowest computed polymorph (meV per atom): 0
# SG: Ibam (72)


# RbTlPb2 (PBE, relaxed)
data_RbTlPb2
_symmetry_space_group_name_H-M 'P 1'
_symmetry_Int_Tables_number 1
_cell_length_a 4.194
_cell_length_b 4.194
_cell_length_c 8.326
_cell_angle_alpha 90.00
_cell_angle_beta 90.00
_cell_angle_gamma 90.00
loop_
_symmetry_equiv_pos_as_xyz
'x,y,z'
loop_
_atom_site_label
_atom_site_type_symbol
_atom_site_fract_x
_atom_site_fract_y
_atom_site_fract_z
Rb1 Rb 0.000 0.000 0.000
Tl1 Tl 0.000 0.000 0.500
Pb1 Pb 0.500 0.500 0.311
Pb2 Pb 0.500 0.500 0.689
# Magnetic moment (Bohr magnetons per cell): 0.0
# Crystal system: tetragonal
# Uncorrected energy (eV per formula unit): -10.94
# E_form (eV per formula unit): -0.2
# ΔE to the lowest computed polymorph (meV per atom): 52
# SG: P4/mmm (123)


# RbTl8Pb4 (PBE, relaxed)
data_RbTl8Pb4
_symmetry_space_group_name_H-M 'P 1'
_symmetry_Int_Tables_number 1
_cell_length_a 9.872
_cell_length_b 9.872
_cell_length_c 9.872
_cell_angle_alpha 59.05
_cell_angle_beta 59.05
_cell_angle_gamma 59.05
loop_
_symmetry_equiv_pos_as_xyz
'x,y,z'
loop_
_atom_site_label
_atom_site_type_symbol
_atom_site_fract_x
_atom_site_fract_y
_atom_site_fract_z
Rb1 Rb 0.000 0.000 0.000
Tl1 Tl 0.275 0.275 0.275
Tl2 Tl 0.279 0.279 0.673
Tl3 Tl 0.279 0.673 0.279
Tl4 Tl 0.327 0.721 0.721
Tl5 Tl 0.673 0.279 0.279
Tl6 Tl 0.721 0.327 0.721
Tl7 Tl 0.721 0.721 0.327
Tl8 Tl 0.725 0.725 0.725
Pb1 Pb 0.000 0.500 0.500
Pb2 Pb 0.500 0.000 0.500
Pb3 Pb 0.500 0.500 0.000
Pb4 Pb 0.500 0.500 0.500
# Magnetic moment (Bohr magnetons per cell): 0.0
# Crystal system: trigonal
# Uncorrected energy (eV per formula unit): -32.41
# E_form (eV per formula unit): 2.3
# ΔE to the lowest computed polymorph (meV per atom): 189
# SG: R-3m (166)


# Rb4Tl2Pb5 (PBE, relaxed)
data_Rb4Tl2Pb5
_symmetry_space_group_name_H-M 'P 1'
_symmetry_Int_Tables_number 1
_cell_length_a 8.143
_cell_length_b 6.210
_cell_length_c 9.616
_cell_angle_alpha 90.00
_cell_angle_beta 100.03
_cell_angle_gamma 90.00
loop_
_symmetry_equiv_pos_as_xyz
'x,y,z'
loop_
_atom_site_label
_atom_site_type_symbol
_atom_site_fract_x
_atom_site_fract_y
_atom_site_fract_z
Rb1 Rb 0.221 0.000 0.163
Rb2 Rb 0.244 0.000 0.649
Rb3 Rb 0.756 0.000 0.351
Rb4 Rb 0.779 0.000 0.837
Tl1 Tl 0.497 0.500 0.162
Tl2 Tl 0.503 0.500 0.838
Pb1 Pb 0.107 0.500 0.387
Pb2 Pb 0.126 0.500 0.899
Pb3 Pb 0.500 0.500 0.500
Pb4 Pb 0.874 0.500 0.101
Pb5 Pb 0.893 0.500 0.613
# Magnetic moment (Bohr magnetons per cell): 0.0
# Crystal system: monoclinic
# Uncorrected energy (eV per formula unit): -28.11
# E_form (eV per formula unit): -1.0
# SG: P2/m (10)


# RbTlPb3 (PBE, relaxed)
data_RbTlPb3
_symmetry_space_group_name_H-M 'P 1'
_symmetry_Int_Tables_number 1
_cell_length_a 7.050
_cell_length_b 7.282
_cell_length_c 7.285
_cell_angle_alpha 90.00
_cell_angle_beta 90.00
_cell_angle_gamma 90.00
loop_
_symmetry_equiv_pos_as_xyz
'x,y,z'
loop_
_atom_site_label
_atom_site_type_symbol
_atom_site_fract_x
_atom_site_fract_y
_atom_site_fract_z
Rb1 Rb 0.000 0.244 0.000
Rb2 Rb 0.500 0.756 0.500
Tl1 Tl 0.000 0.902 0.351
Tl2 Tl 0.500 0.098 0.851
Pb1 Pb 0.000 0.603 0.649
Pb2 Pb 0.250 0.254 0.501
Pb3 Pb 0.250 0.746 0.001
Pb4 Pb 0.500 0.397 0.149
Pb5 Pb 0.750 0.254 0.501
Pb6 Pb 0.750 0.746 0.001
# Magnetic moment (Bohr magnetons per cell): 0.0
# Crystal system: orthorhombic
# Uncorrected energy (eV per formula unit): -14.63
# E_form (eV per formula unit): -0.2
# ΔE to the lowest computed polymorph (meV per atom): 49
# SG: Pmn2_1 (31)


# Rb2Tl5Pb (PBE, relaxed)
data_Rb2Tl5Pb
_symmetry_space_group_name_H-M 'P 1'
_symmetry_Int_Tables_number 1
_cell_length_a 9.596
_cell_length_b 9.596
_cell_length_c 9.596
_cell_angle_alpha 145.06
_cell_angle_beta 145.06
_cell_angle_gamma 50.24
loop_
_symmetry_equiv_pos_as_xyz
'x,y,z'
loop_
_atom_site_label
_atom_site_type_symbol
_atom_site_fract_x
_atom_site_fract_y
_atom_site_fract_z
Rb1 Rb 0.247 0.247 0.000
Rb2 Rb 0.753 0.753 0.000
Tl1 Tl 0.101 0.601 0.500
Tl2 Tl 0.399 0.899 0.500
Tl3 Tl 0.500 0.500 0.000
Tl4 Tl 0.601 0.101 0.500
Tl5 Tl 0.899 0.399 0.500
Pb1 Pb 0.000 0.000 0.000
# Magnetic moment (Bohr magnetons per cell): 0.0
# Crystal system: tetragonal
# Uncorrected energy (eV per formula unit): -18.07
# E_form (eV per formula unit): -0.6
# ΔE to the lowest computed polymorph (meV per atom): 0
# SG: I4/mmm (139)


# Rb2Tl2Pb15 (PBE, relaxed)
data_Rb2Tl2Pb15
_symmetry_space_group_name_H-M 'P 1'
_symmetry_Int_Tables_number 1
_cell_length_a 8.809
_cell_length_b 8.809
_cell_length_c 8.809
_cell_angle_alpha 82.20
_cell_angle_beta 82.20
_cell_angle_gamma 82.20
loop_
_symmetry_equiv_pos_as_xyz
'x,y,z'
loop_
_atom_site_label
_atom_site_type_symbol
_atom_site_fract_x
_atom_site_fract_y
_atom_site_fract_z
Rb1 Rb 0.162 0.162 0.162
Rb2 Rb 0.838 0.838 0.838
Tl1 Tl 0.401 0.401 0.401
Tl2 Tl 0.599 0.599 0.599
Pb1 Pb 0.000 0.500 0.500
Pb2 Pb 0.150 0.150 0.657
Pb3 Pb 0.150 0.657 0.150
Pb4 Pb 0.203 0.500 0.797
Pb5 Pb 0.203 0.797 0.500
Pb6 Pb 0.343 0.850 0.850
Pb7 Pb 0.500 0.000 0.500
Pb8 Pb 0.500 0.203 0.797
Pb9 Pb 0.500 0.500 0.000
Pb10 Pb 0.500 0.797 0.203
Pb11 Pb 0.657 0.150 0.150
Pb12 Pb 0.797 0.203 0.500
Pb13 Pb 0.797 0.500 0.203
Pb14 Pb 0.850 0.343 0.850
Pb15 Pb 0.850 0.850 0.343
# Magnetic moment (Bohr magnetons per cell): 0.0
# Crystal system: trigonal
# Uncorrected energy (eV per formula unit): -62.97
# E_form (eV per formula unit): -0.7
# SG: R-3m (166)


# RbTl10Pb3 (PBE, relaxed)
data_RbTl10Pb3
_symmetry_space_group_name_H-M 'P 1'
_symmetry_Int_Tables_number 1
_cell_length_a 11.415
_cell_length_b 11.415
_cell_length_c 11.415
_cell_angle_alpha 60.00
_cell_angle_beta 60.00
_cell_angle_gamma 60.00
loop_
_symmetry_equiv_pos_as_xyz
'x,y,z'
loop_
_atom_site_label
_atom_site_type_symbol
_atom_site_fract_x
_atom_site_fract_y
_atom_site_fract_z
Rb1 Rb 0.250 0.250 0.250
Rb2 Rb 0.750 0.750 0.750
Tl1 Tl 0.000 0.000 0.362
Tl2 Tl 0.000 0.000 0.638
Tl3 Tl 0.000 0.362 0.000
Tl4 Tl 0.000 0.362 0.638
Tl5 Tl 0.000 0.638 0.000
Tl6 Tl 0.000 0.638 0.362
Tl7 Tl 0.155 0.615 0.615
Tl8 Tl 0.362 0.000 0.000
Tl9 Tl 0.362 0.000 0.638
Tl10 Tl 0.362 0.638 0.000
Tl11 Tl 0.385 0.385 0.385
Tl12 Tl 0.385 0.385 0.845
Tl13 Tl 0.385 0.845 0.385
Tl14 Tl 0.615 0.155 0.615
Tl15 Tl 0.615 0.615 0.155
Tl16 Tl 0.615 0.615 0.615
Tl17 Tl 0.638 0.000 0.000
Tl18 Tl 0.638 0.000 0.362
Tl19 Tl 0.638 0.362 0.000
Tl20 Tl 0.845 0.385 0.385
Pb1 Pb 0.259 0.259 0.741
Pb2 Pb 0.259 0.741 0.259
Pb3 Pb 0.259 0.741 0.741
Pb4 Pb 0.741 0.259 0.259
Pb5 Pb 0.741 0.259 0.741
Pb6 Pb 0.741 0.741 0.259
# Magnetic moment (Bohr magnetons per cell): 0.0
# Crystal system: cubic
# Uncorrected energy (eV per formula unit): -34.63
# E_form (eV per formula unit): 1.1
# SG: Fm-3m (225)